1.
Below is an optimized crystal structure of La2InCuSe5, with properties calculated at the PBE level.

Properties
Formation energy without anion corrections in meV per atom: -1323.3
Space-group type: No. 62

Cell lengths 4.1398, 12.2691, 17.5997 Å; angles 90.00, 90.00, 90.00 degrees
Fractional positions:
1 Se 0.2500 0.1817 0.8866
2 In 0.2500 0.1904 0.6385
3 La 0.7500 0.0222 0.8219
4 La 0.2500 0.6374 0.0938
5 Se 0.2500 0.3988 0.5770
6 Se 0.7500 0.5165 0.1949
7 La 0.2500 0.9778 0.1781
8 In 0.2500 0.6904 0.8615
9 Se 0.7500 0.8183 0.1134
10 Cu 0.2500 0.5746 0.4977
11 La 0.7500 0.5222 0.6781
12 Se 0.7500 0.2589 0.7288
13 Se 0.7500 0.6012 0.4230
14 La 0.7500 0.3626 0.9062
15 Se 0.2500 0.4835 0.8051
16 Se 0.7500 0.1012 0.0770
17 Se 0.7500 0.3183 0.3866
18 La 0.2500 0.4778 0.3219
19 Se 0.2500 0.3926 0.0365
20 Se 0.7500 0.1074 0.5365
21 Se 0.2500 0.6817 0.6134
22 Se 0.2500 0.7411 0.2712
23 In 0.7500 0.3096 0.1385
24 Cu 0.2500 0.0746 0.0023
25 Se 0.7500 0.7589 0.7712
26 Se 0.2500 0.8988 0.9230
27 Se 0.2500 0.2411 0.2288
28 Se 0.2500 0.8926 0.4635
29 La 0.2500 0.1374 0.4062
30 Cu 0.7500 0.4254 0.5023
31 Se 0.7500 0.0165 0.3051
32 Se 0.2500 0.9835 0.6949
33 Cu 0.7500 0.9254 0.9977
34 In 0.7500 0.8096 0.3615
35 Se 0.7500 0.6074 0.9635
36 La 0.7500 0.8626 0.5938

2.
Below is an optimized crystal structure of La2InCuSe5, with properties calculated at the PBE level.

Properties
N(E_F) in states/eV per atom: 0.047
Formation energy without anion corrections in meV per atom: -1286.3
Space-group type: No. 36

Cell lengths 4.1355, 9.0519, 12.2117 Å; angles 90.00, 90.00, 103.20 degrees
Fractional positions:
1 La 0.8801 0.7602 0.8031
2 In 0.8102 0.6205 0.5009
3 Se 0.4961 0.9922 0.2865
4 Se 0.7103 0.4205 0.1602
5 Se 0.9587 0.9175 0.5606
6 La 0.1199 0.2398 0.3031
7 Cu 0.4958 0.9915 0.9839
8 Cu 0.5042 0.0085 0.4839
9 Se 0.6480 0.2960 0.4991
10 La 0.1123 0.2245 0.6862
11 Se 0.2986 0.5973 0.3436
12 Se 0.3520 0.7040 0.9991
13 Se 0.2897 0.5795 0.6602
14 La 0.8877 0.7755 0.1862
15 Se 0.0413 0.0825 0.0606
16 Se 0.5039 0.0078 0.7865
17 In 0.1898 0.3795 0.0009
18 Se 0.7014 0.4027 0.8436

3.
Below is an optimized crystal structure of LaTlInCu, with properties calculated at the PBE level.

Properties
N(E_F) in states/eV per atom: 0.451
Formation enthalpy at 0 K in meV per atom: -197
Space-group type: No. 216

Cell lengths 5.1981, 5.1981, 5.1981 Å; angles 60.00, 60.00, 60.00 degrees
Fractional positions:
1 La 0.5000 0.5000 0.5000
2 In 0.0000 0.0000 0.0000
3 Cu 0.7500 0.7500 0.7500
4 Tl 0.2500 0.2500 0.2500